The following is a GGA-PBE calculation of a relaxed NaNiBiPb2 crystal, from Alexandria via LeMat-Bulk.

CIF file:
```
data_NaNiBiPb2
_symmetry_space_group_name_H-M 'P 4/m m m'
_symmetry_Int_Tables_number 123
_symmetry_space_group_name_Hall '-P 4 2'
_cell_length_a 5.169
_cell_length_b 5.169
_cell_length_c 5.422
_cell_angle_alpha 90.00
_cell_angle_beta 90.00
_cell_angle_gamma 90.00
loop_
_atom_site_label
_atom_site_fract_x
_atom_site_fract_y
_atom_site_fract_z
Na1 0.000 0.000 0.000
Ni1 0.500 0.500 0.500
Bi1 0.500 0.500 0.000
Pb1 0.000 0.500 0.500
```

Results
The value obtained for the density of states at the Fermi level is 3.1 states/eV per cell. The value obtained for the total DFT energy (no corrections) is -18.1 eV for the cell shown.



The following is a GGA-PBE calculation of a relaxed Na2ScNiBi crystal, from Alexandria via LeMat-Bulk.

CIF file:
```
data_Na2ScNiBi
_symmetry_space_group_name_H-M 'P 4/m m m'
_symmetry_Int_Tables_number 123
_symmetry_space_group_name_Hall '-P 4 2'
_cell_length_a 5.946
_cell_length_b 5.946
_cell_length_c 5.415
_cell_angle_alpha 90.00
_cell_angle_beta 90.00
_cell_angle_gamma 90.00
loop_
_atom_site_label
_atom_site_fract_x
_atom_site_fract_y
_atom_site_fract_z
Na1 0.000 0.500 0.000
Sc1 0.000 0.000 0.000
Ni1 0.500 0.500 0.500
Bi1 0.000 0.000 0.500
```

Results
The value obtained for the density of states at the Fermi level is 8.8 states/eV per cell. The value obtained for the total DFT energy (no corrections) is -13.3 eV for the cell shown.



The following is a GGA-PBE calculation of a relaxed NaSrNi2Bi crystal, from Alexandria via LeMat-Bulk.

CIF file:
```
data_NaSrNi2Bi
_symmetry_space_group_name_H-M 'P 4/m m m'
_symmetry_Int_Tables_number 123
_symmetry_space_group_name_Hall '-P 4 2'
_cell_length_a 5.099
_cell_length_b 5.099
_cell_length_c 6.202
_cell_angle_alpha 90.00
_cell_angle_beta 90.00
_cell_angle_gamma 90.00
loop_
_atom_site_label
_atom_site_fract_x
_atom_site_fract_y
_atom_site_fract_z
Na1 0.000 0.000 0.000
Sr1 0.500 0.500 0.500
Ni1 0.000 0.500 0.500
Bi1 0.500 0.500 0.000
```

Results
The value obtained for the density of states at the Fermi level is 6.3 states/eV per cell. The value obtained for the total DFT energy (no corrections) is -12.8 eV for the cell shown.



The following is a GGA-PBE calculation of a relaxed NaTc2NiBi crystal, from Alexandria via LeMat-Bulk.

CIF file:
```
data_NaTc2NiBi
_symmetry_space_group_name_H-M 'P 4/m m m'
_symmetry_Int_Tables_number 123
_symmetry_space_group_name_Hall '-P 4 2'
_cell_length_a 4.744
_cell_length_b 4.744
_cell_length_c 4.408
_cell_angle_alpha 90.00
_cell_angle_beta 90.00
_cell_angle_gamma 90.00
loop_
_atom_site_label
_atom_site_fract_x
_atom_site_fract_y
_atom_site_fract_z
Na1 0.000 0.000 0.000
Tc1 0.000 0.500 0.000
Ni1 0.000 0.000 0.500
Bi1 0.500 0.500 0.500
```

Results
The value obtained for the density of states at the Fermi level is 4.9 states/eV per cell. The value obtained for the total DFT energy (no corrections) is -22.1 eV for the cell shown.



The following is a GGA-PBE calculation of a relaxed NaTlNiBi2 crystal, from Alexandria via LeMat-Bulk.

CIF file:
```
data_NaTlNiBi2
_symmetry_space_group_name_H-M 'P 4/m m m'
_symmetry_Int_Tables_number 123
_symmetry_space_group_name_Hall '-P 4 2'
_cell_length_a 5.312
_cell_length_b 5.312
_cell_length_c 5.114
_cell_angle_alpha 90.00
_cell_angle_beta 90.00
_cell_angle_gamma 90.00
loop_
_atom_site_label
_atom_site_fract_x
_atom_site_fract_y
_atom_site_fract_z
Na1 0.000 0.000 0.000
Tl1 0.500 0.500 0.000
Ni1 0.500 0.500 0.500
Bi1 0.000 0.500 0.500
```

Results
The value obtained for the density of states at the Fermi level is 3.5 states/eV per cell. The value obtained for the total DFT energy (no corrections) is -17.0 eV for the cell shown.



The following is a GGA-PBE calculation of a relaxed NaNiBi2W crystal, from Alexandria via LeMat-Bulk.

CIF file:
```
data_NaNiBi2W
_symmetry_space_group_name_H-M 'P 4/m m m'
_symmetry_Int_Tables_number 123
_symmetry_space_group_name_Hall '-P 4 2'
_cell_length_a 5.316
_cell_length_b 5.316
_cell_length_c 5.603
_cell_angle_alpha 90.00
_cell_angle_beta 90.00
_cell_angle_gamma 90.00
loop_
_atom_site_label
_atom_site_fract_x
_atom_site_fract_y
_atom_site_fract_z
Na1 0.000 0.000 0.000
Ni1 0.500 0.500 0.000
Bi1 0.000 0.500 0.500
W1 0.000 0.000 0.500
```

Results
The value obtained for the density of states at the Fermi level is 10.2 states/eV per cell. The value obtained for the total DFT energy (no corrections) is -21.0 eV for the cell shown.



Which formula does entry 2 have? Na2ScNiBi



What is the density of states at the Fermi level in the second record? 8.8 states/eV per cell



Number 2 is which compound? Na2ScNiBi



The highest total DFT energy (no corrections) belongs to which entry? NaSrNi2Bi